Entry 1:
Here is an optimized crystal structure of BaCa3Te4 from the Alexandria database. Energies are from GGA-PBE.

* energy: -67.5 eV for the cell shown
* space group: P6_3/mmc
* formation energy (no corrections): -13.26 eV per formula unit
* total magnetic moment: 0.00 μB/f.u.

Cell: 4.6163 4.6163 30.6453 Å, 90.00 90.00 120.00°
Closest atoms and distances in Å follow each position.
Fractional positions:
Ba: 0.3333 0.6667 0.2500  6 Te 3.48
Ba: 0.6667 0.3333 0.7500  6 Te 3.48
Ca: 0.6667 0.3333 0.3815  6 Te 3.21-3.22
Ca: 0.3333 0.6667 0.6185  6 Te 3.21-3.22
Ca: 0.0000 0.0000 0.5000  6 Te 3.22
Ca: 0.0000 0.0000 0.0000  6 Te 3.22
Ca: 0.3333 0.6667 0.8815  6 Te 3.21-3.22
Ca: 0.6667 0.3333 0.1185  6 Te 3.21-3.22
Te: 0.0000 0.0000 0.6771  3 Ca 3.21, 3 Ba 3.48
Te: 0.0000 0.0000 0.1771  3 Ca 3.21, 3 Ba 3.48
Te: 0.3333 0.6667 0.0592  6 Ca 3.22
Te: 0.0000 0.0000 0.8229  3 Ca 3.21, 3 Ba 3.48
Te: 0.3333 0.6667 0.4408  6 Ca 3.22
Te: 0.6667 0.3333 0.5592  6 Ca 3.22
Te: 0.6667 0.3333 0.9408  6 Ca 3.22
Te: 0.0000 0.0000 0.3229  3 Ca 3.21, 3 Ba 3.48

Entry 2:
Here is an optimized crystal structure of BaCa2Te from the Alexandria database. Energies are from GGA-PBE.

* energy: -11.8 eV for the cell shown
* space group: Cmmm
* formation energy (no corrections): -2.72 eV per formula unit
* total magnetic moment: 0.00 μB/f.u.

Cell: 3.9987 3.9988 10.1915 Å, 90.00 90.00 90.08°
Closest atoms and distances in Å follow each position.
Fractional positions:
Ba: 0.5000 0.5000 0.7500  4 Ba 4.00, 8 Ca 4.33
Ca: 0.0000 0.0000 0.4282  4 Te 3.36, 1 Ca 3.63
Ca: 0.0000 0.0000 0.0718  4 Te 3.36, 1 Ca 3.63
Te: 0.5000 0.5000 0.2500  8 Ca 3.36

Entry 3:
Here is an optimized crystal structure of Ba2CaTiTe from the Alexandria database. Energies are from GGA-PBE.

* energy: -16.3 eV for the cell shown
* space group: P4/mmm
* formation energy (no corrections): 0.54 eV per formula unit
* total magnetic moment: 2.07 μB/f.u.

Cell: 6.4877 5.2992 6.4877 Å, 90.00 90.00 90.00°
Closest atoms and distances in Å follow each position.
Fractional positions:
Ca: 0.5000 0.5000 0.5000  8 Ba 4.19, 4 Te 4.59
Ba: 0.0000 0.0000 0.5000  2 Ti 3.24
Ba: 0.5000 0.0000 0.0000  2 Ti 3.24
Te: 0.0000 0.5000 0.0000  2 Ti 2.65
Ti: 0.0000 0.0000 0.0000  2 Te 2.65

Entry 4:
Here is an optimized crystal structure of Ba2CaTmTe4 from the Alexandria database. Energies are from GGA-PBE.

* energy: -35.5 eV for the cell shown
* space group: P2/m
* formation energy (no corrections): -12.65 eV per formula unit
* total magnetic moment: 0.00 μB/f.u.

Cell: 4.6339 8.0470 8.2338 Å, 108.91 90.00 90.00°
Closest atoms and distances in Å follow each position.
Fractional positions:
Tm: 0.5000 0.5000 0.0000  6 Te 3.11-3.13
Ca: 0.0000 0.0000 0.0000  6 Te 3.19-3.20
Ba: 0.5000 0.0000 0.5000  6 Te 3.51-3.52
Ba: 0.0000 0.5000 0.5000  6 Te 3.44-3.45
Te: 0.0000 0.2690 0.7864  2 Tm 3.13, 1 Ca 3.20, 1 Ba 3.44
Te: 0.0000 0.7310 0.2136  2 Tm 3.13, 1 Ca 3.20, 1 Ba 3.44
Te: 0.5000 0.7533 0.7835  1 Tm 3.11, 2 Ca 3.19, 2 Ba 3.45
Te: 0.5000 0.2467 0.2165  1 Tm 3.11, 2 Ca 3.19, 2 Ba 3.45

Entry 5:
Here is an optimized crystal structure of BaCaTh from the Alexandria database. Energies are from GGA-PBE.

* energy: -21.6 eV for the cell shown
* ΔH_f (0 K): 0.180 eV/atom
* space group: P4/nmm
* total magnetic moment: 0.00 μB/f.u.

Cell: 4.2198 4.2198 15.4178 Å, 90.00 90.00 90.00°
Closest atoms and distances in Å follow each position.
Fractional positions:
Th: 0.0000 0.5000 0.9568  4 Th 3.27, 1 Ca 3.64
Th: 0.5000 0.0000 0.0432  4 Th 3.27, 1 Ca 3.64
Ca: 0.5000 0.0000 0.8069  5 Th 3.64-3.77
Ca: 0.0000 0.5000 0.1931  5 Th 3.64-3.77
Ba: 0.0000 0.5000 0.6104  8 Ba 4.22-4.53, 4 Ca 4.25
Ba: 0.5000 0.0000 0.3896  8 Ba 4.22-4.53, 4 Ca 4.25

Entry 6:
Here is an optimized crystal structure of BaCaTi2 from the Alexandria database. Energies are from GGA-PBE.

* energy: -30.8 eV for the cell shown
* ΔH_f (0 K): 1.073 eV/atom
* space group: I-42d
* energy above the most stable polymorph in this dataset: 100 meV/atom
* total magnetic moment: 3.98 μB/f.u.

Cell: 8.7699 8.7699 6.9744 Å, 51.04 51.04 90.00°
Closest atoms and distances in Å follow each position.
Fractional positions:
Ca: 0.2500 0.7500 0.5000  4 Ti 3.16, 2 Ba 3.19
Ca: 0.5000 0.5000 0.0000  4 Ti 3.16, 2 Ba 3.19
Ba: 0.0000 0.0000 0.0000  2 Ca 3.19, 4 Ti 3.24
Ba: 0.7500 0.2500 0.5000  2 Ca 3.19, 4 Ti 3.24
Ti: 0.1320 0.6250 0.2500  2 Ca 3.16, 2 Ti 3.19, 2 Ba 3.24
Ti: 0.8750 0.8680 0.7500  2 Ca 3.16, 2 Ti 3.19, 2 Ba 3.24
Ti: 0.3750 0.3820 0.7500  2 Ca 3.16, 2 Ti 3.19, 2 Ba 3.24
Ti: 0.6180 0.1250 0.2500  2 Ca 3.16, 2 Ti 3.19, 2 Ba 3.24

Entry 7:
Here is an optimized crystal structure of BaCaTi from the Alexandria database. Energies are from GGA-PBE.

* energy: -20.9 eV for the cell shown
* ΔH_f (0 K): 0.456 eV/atom
* space group: P1
* energy above the most stable polymorph in this dataset: 36 meV/atom
* total magnetic moment: 0.19 μB/f.u.

Cell: 4.3816 6.8635 8.5618 Å, 101.12 104.67 89.98°
Closest atoms and distances in Å follow each position.
Fractional positions:
Ca: 0.9327 0.1087 0.3278  3 Ti 3.21-3.38
Ca: 0.2034 0.9936 0.8744  3 Ti 3.25-3.41
Ti: 0.1126 0.3732 0.6934  2 Ti 2.47-2.48
Ti: 0.5897 0.2029 0.6437  2 Ti 2.47-2.48
Ba: 0.7731 0.5276 0.0178  3 Ti 3.44-3.47
Ba: 0.5142 0.6474 0.4952  4 Ti 3.50-3.77

Entry 8:
Here is an optimized crystal structure of BaCaTi2 from the Alexandria database. Energies are from GGA-PBE.

* energy: -15.8 eV for the cell shown
* ΔH_f (0 K): 0.973 eV/atom
* space group: Fm-3m
* energy above the most stable polymorph in this dataset: 0 meV/atom
* total magnetic moment: 0.00 μB/f.u.

Cell: 5.4439 5.4439 5.4439 Å, 60.00 60.00 60.00°
Closest atoms and distances in Å follow each position.
Fractional positions:
Ti: 0.2500 0.2500 0.2500  4 Ba 3.33, 4 Ca 3.33
Ti: 0.7500 0.7500 0.7500  4 Ba 3.33, 4 Ca 3.33
Ba: 0.5000 0.5000 0.5000  8 Ti 3.33
Ca: 0.0000 0.0000 0.0000  8 Ti 3.33